A:
DFT (PBE) results for a relaxed CaMnW2 crystal.

a = 9.5547 Å, b = 3.0922 Å, c = 5.5472 Å
α = 90.00°, β = 105.60°, γ = 90.00°
Space group Cm (No. 8)
Inequivalent atoms, fractional coordinates:
Ca  0.0000  0.0000  0.0000 (multiplicity 2)
Mn  0.2300  0.0000  0.6550 (multiplicity 2)
W  0.0205  0.5000  0.5182 (multiplicity 2)
W  0.2903  0.5000  0.3658 (multiplicity 2)

Calculated values
N(E_F) (states/eV/cell): 5.8



B:
DFT (PBE) results for a relaxed CaMnW2 crystal.

a = 6.3483 Å, b = 6.3483 Å, c = 6.3483 Å
α = 90.00°, β = 90.00°, γ = 90.00°
Space group Fm-3m (No. 225)
Inequivalent atoms, fractional coordinates:
Ca  0.0000  0.0000  0.0000 (multiplicity 4)
Mn  0.0000  0.0000  0.5000 (multiplicity 4)
W  0.2500  0.2500  0.2500 (multiplicity 8)

Calculated values
N(E_F) (states/eV/cell): 15.7



Which structure is the most stable? The one labeled A.



A:
DFT (PBE) results for a relaxed Ca2MnW crystal.

a = 7.0497 Å, b = 7.0497 Å, c = 7.0497 Å
α = 90.00°, β = 90.00°, γ = 90.00°
Space group Fm-3m (No. 225)
Inequivalent atoms, fractional coordinates:
Ca  0.2500  0.2500  0.2500 (multiplicity 8)
Mn  0.0000  0.0000  0.0000 (multiplicity 4)
W  0.0000  0.0000  0.5000 (multiplicity 4)

Calculated values
N(E_F) (states/eV/cell): 45.2



B:
DFT (PBE) results for a relaxed Ca2MnW crystal.

a = 10.9180 Å, b = 10.9180 Å, c = 4.3088 Å
α = 90.00°, β = 90.00°, γ = 90.00°
Space group I-42d (No. 122)
Inequivalent atoms, fractional coordinates:
Ca  0.0784  0.7500  0.1250 (multiplicity 8)
Mn  0.0000  0.0000  0.0000 (multiplicity 4)
W  0.0000  0.0000  0.5000 (multiplicity 4)

Calculated values
N(E_F) (states/eV/cell): 24.0



Which structure is the most stable? The one labeled B.



A:
DFT (PBE) results for a relaxed Ca2MnW crystal.

a = 4.1182 Å, b = 4.2826 Å, c = 10.0287 Å
α = 90.00°, β = 90.00°, γ = 90.00°
Space group Cmmm (No. 65)
Inequivalent atoms, fractional coordinates:
Ca  0.0000  0.0000  0.2433 (multiplicity 4)
Mn  0.0000  0.5000  0.5000 (multiplicity 2)
W  0.0000  0.5000  0.0000 (multiplicity 2)

Calculated values
N(E_F) (states/eV/cell): 7.4



B:
DFT (PBE) results for a relaxed Ca2MnW crystal.

a = 3.3959 Å, b = 5.3395 Å, c = 10.0443 Å
α = 90.00°, β = 90.00°, γ = 90.00°
Space group Imm2 (No. 44)
Inequivalent atoms, fractional coordinates:
Ca  0.0000  0.0000  0.0000 (multiplicity 2)
Ca  0.0000  0.5000  0.2054 (multiplicity 2)
Mn  0.0000  0.5000  0.7623 (multiplicity 2)
W  0.0000  0.0000  0.4109 (multiplicity 2)

Calculated values
N(E_F) (states/eV/cell): 6.1



C:
DFT (PBE) results for a relaxed Ca2MnW crystal.

a = 3.1220 Å, b = 3.1220 Å, c = 31.8437 Å
α = 90.00°, β = 90.00°, γ = 120.00°
Space group R-3m (No. 166, hexagonal axes)
Inequivalent atoms, fractional coordinates:
Ca  0.0000  0.0000  0.2477 (multiplicity 6)
Mn  0.0000  0.0000  0.0000 (multiplicity 3)
W  0.0000  0.0000  0.5000 (multiplicity 3)

Calculated values
N(E_F) (states/eV/cell): 15.8



Which structure is the most stable? The one labeled B.



A:
DFT (PBE) results for a relaxed Ca2MnW crystal.

a = 4.1237 Å, b = 4.1237 Å, c = 5.0116 Å
α = 90.00°, β = 90.00°, γ = 90.00°
Space group P4/mmm (No. 123)
Inequivalent atoms, fractional coordinates:
Ca  0.0000  0.5000  0.0000 (multiplicity 2)
Mn  0.0000  0.0000  0.5000 (multiplicity 1)
W  0.5000  0.5000  0.5000 (multiplicity 1)

Calculated values
N(E_F) (states/eV/cell): 4.6



B:
DFT (PBE) results for a relaxed Ca2MnW crystal.

a = 3.2905 Å, b = 3.2908 Å, c = 8.8866 Å
α = 90.00°, β = 90.06°, γ = 90.00°
Space group Pm (No. 6)
Inequivalent atoms, fractional coordinates:
Ca  0.0000  0.0000  0.0000 (multiplicity 1)
Ca  0.4983  0.5000  0.3838 (multiplicity 1)
Mn  0.9989  0.0000  0.6362 (multiplicity 1)
W  0.4991  0.5000  0.7373 (multiplicity 1)

Calculated values
N(E_F) (states/eV/cell): 2.7



Which structure is the most stable? The one labeled B.



A:
DFT (PBE) results for a relaxed Ca2MnW crystal.

a = 2.9338 Å, b = 4.9990 Å, c = 5.9563 Å
α = 90.00°, β = 96.05°, γ = 90.00°
Space group P2/m (No. 10)
Inequivalent atoms, fractional coordinates:
Ca  0.0304  0.0000  0.2457 (multiplicity 2)
Mn  0.5000  0.5000  0.5000 (multiplicity 1)
W  0.5000  0.5000  0.0000 (multiplicity 1)

Calculated values
N(E_F) (states/eV/cell): 4.5



B:
DFT (PBE) results for a relaxed Ca2MnW crystal.

a = 3.2120 Å, b = 3.6932 Å, c = 17.1173 Å
α = 90.00°, β = 90.00°, γ = 90.00°
Space group Immm (No. 71)
Inequivalent atoms, fractional coordinates:
Ca  0.0000  0.0000  0.1526 (multiplicity 4)
Mn  0.0000  0.5000  0.5000 (multiplicity 2)
W  0.0000  0.5000  0.0000 (multiplicity 2)

Calculated values
N(E_F) (states/eV/cell): 10.1



Which structure is the most stable? The one labeled B.



A:
DFT (PBE) results for a relaxed Ca2MnW crystal.

a = 3.4388 Å, b = 3.4388 Å, c = 28.9872 Å
α = 90.00°, β = 90.00°, γ = 120.00°
Space group R3m (No. 160, hexagonal axes)
Inequivalent atoms, fractional coordinates:
Ca  0.0000  0.0000  0.0000 (multiplicity 3)
Ca  0.0000  0.0000  0.2144 (multiplicity 3)
Mn  0.0000  0.0000  0.7462 (multiplicity 3)
W  0.0000  0.0000  0.4567 (multiplicity 3)

Calculated values
N(E_F) (states/eV/cell): 12.2



B:
DFT (PBE) results for a relaxed Ca2MnW crystal.

a = 6.0317 Å, b = 9.8055 Å, c = 2.9526 Å
α = 90.00°, β = 90.00°, γ = 90.00°
Space group Cmmm (No. 65)
Inequivalent atoms, fractional coordinates:
Ca  0.2500  0.2500  0.0000 (multiplicity 4)
Mn  0.0000  0.0000  0.5000 (multiplicity 2)
W  0.0000  0.5000  0.5000 (multiplicity 2)

Calculated values
N(E_F) (states/eV/cell): 10.8



Which structure is the most stable? The one labeled A.



A:
DFT (PBE) results for a relaxed CaMnW3 crystal.

a = 4.6061 Å, b = 4.6061 Å, c = 4.6061 Å
α = 90.00°, β = 90.00°, γ = 90.00°
Space group Pm-3m (No. 221)
Inequivalent atoms, fractional coordinates:
Ca  0.0000  0.0000  0.0000 (multiplicity 1)
Mn  0.5000  0.5000  0.5000 (multiplicity 1)
W  0.0000  0.5000  0.5000 (multiplicity 3)

Calculated values
N(E_F) (states/eV/cell): 5.3



B:
DFT (PBE) results for a relaxed CaMnW3 crystal.

a = 4.5228 Å, b = 4.5228 Å, c = 4.5228 Å
α = 90.00°, β = 90.00°, γ = 90.00°
Space group Pm-3m (No. 221)
Inequivalent atoms, fractional coordinates:
Ca  0.0000  0.0000  0.0000 (multiplicity 1)
Mn  0.5000  0.5000  0.5000 (multiplicity 1)
W  0.0000  0.0000  0.5000 (multiplicity 3)

Calculated values
N(E_F) (states/eV/cell): 11.0



Which structure is the most stable? The one labeled A.



A:
DFT (PBE) results for a relaxed CaY2Mn crystal.

a = 3.5583 Å, b = 3.5583 Å, c = 32.5169 Å
α = 90.00°, β = 90.00°, γ = 120.00°
Space group R-3m (No. 166, hexagonal axes)
Inequivalent atoms, fractional coordinates:
Ca  0.0000  0.0000  0.0000 (multiplicity 3)
Y  0.0000  0.0000  0.2348 (multiplicity 6)
Mn  0.0000  0.0000  0.5000 (multiplicity 3)

Calculated values
N(E_F) (states/eV/cell): 14.6



B:
DFT (PBE) results for a relaxed CaY2Mn crystal.

a = 7.7055 Å, b = 7.7055 Å, c = 7.7055 Å
α = 90.00°, β = 90.00°, γ = 90.00°
Space group F-43m (No. 216)
Inequivalent atoms, fractional coordinates:
Ca  0.0000  0.0000  0.0000 (multiplicity 4)
Y  0.0000  0.0000  0.5000 (multiplicity 4)
Y  0.2500  0.2500  0.7500 (multiplicity 4)
Mn  0.2500  0.2500  0.2500 (multiplicity 4)

Calculated values
N(E_F) (states/eV/cell): 28.8



C:
DFT (PBE) results for a relaxed CaY2Mn crystal.

a = 7.6539 Å, b = 7.6539 Å, c = 7.6539 Å
α = 90.00°, β = 90.00°, γ = 90.00°
Space group Fm-3m (No. 225)
Inequivalent atoms, fractional coordinates:
Ca  0.0000  0.0000  0.0000 (multiplicity 4)
Y  0.2500  0.2500  0.2500 (multiplicity 8)
Mn  0.0000  0.0000  0.5000 (multiplicity 4)

Calculated values
N(E_F) (states/eV/cell): 13.2



Which structure is the most stable? The one labeled A.



A:
DFT (PBE) results for a relaxed CaY2Mn crystal.

a = 7.5983 Å, b = 7.5983 Å, c = 10.7530 Å
α = 90.00°, β = 90.00°, γ = 90.00°
Space group I-42d (No. 122)
Inequivalent atoms, fractional coordinates:
Ca  0.0000  0.0000  0.0000 (multiplicity 4)
Y  0.0009  0.2500  0.6250 (multiplicity 8)
Mn  0.0000  0.0000  0.5000 (multiplicity 4)

Calculated values
N(E_F) (states/eV/cell): 12.9



B:
DFT (PBE) results for a relaxed CaY2Mn crystal.

a = 3.6188 Å, b = 3.6188 Å, c = 8.9373 Å
α = 90.00°, β = 90.00°, γ = 90.00°
Space group P4mm (No. 99)
Inequivalent atoms, fractional coordinates:
Ca  0.0000  0.0000  0.0000 (multiplicity 1)
Y  0.0000  0.0000  0.4031 (multiplicity 1)
Y  0.5000  0.5000  0.6809 (multiplicity 1)
Mn  0.5000  0.5000  0.2183 (multiplicity 1)

Calculated values
N(E_F) (states/eV/cell): 4.9



C:
DFT (PBE) results for a relaxed CaY2Mn crystal.

a = 3.5541 Å, b = 3.5830 Å, c = 9.2565 Å
α = 90.00°, β = 90.09°, γ = 90.00°
Space group P2/m (No. 10)
Inequivalent atoms, fractional coordinates:
Ca  0.0000  0.0000  0.0000 (multiplicity 1)
Y  0.4998  0.5000  0.3163 (multiplicity 2)
Mn  0.0000  0.0000  0.5000 (multiplicity 1)

Calculated values
N(E_F) (states/eV/cell): 5.8



D:
DFT (PBE) results for a relaxed CaY2Mn crystal.

a = 3.6615 Å, b = 5.6224 Å, c = 11.3273 Å
α = 90.00°, β = 90.00°, γ = 90.00°
Space group Immm (No. 71)
Inequivalent atoms, fractional coordinates:
Ca  0.0000  0.0000  0.0000 (multiplicity 2)
Y  0.0000  0.5000  0.2071 (multiplicity 4)
Mn  0.0000  0.0000  0.5000 (multiplicity 2)

Calculated values
N(E_F) (states/eV/cell): 10.1



Which structure is the most stable? The one labeled C.



A:
DFT (PBE) results for a relaxed CaY2Mn crystal.

a = 4.7780 Å, b = 4.7780 Å, c = 10.0579 Å
α = 90.00°, β = 90.00°, γ = 90.00°
Space group I-4m2 (No. 119)
Inequivalent atoms, fractional coordinates:
Ca  0.0000  0.0000  0.0000 (multiplicity 2)
Y  0.0000  0.0000  0.5000 (multiplicity 2)
Y  0.0000  0.5000  0.2500 (multiplicity 2)
Mn  0.0000  0.5000  0.7500 (multiplicity 2)

Calculated values
N(E_F) (states/eV/cell): 13.8



B:
DFT (PBE) results for a relaxed CaY2Mn crystal.

a = 3.6991 Å, b = 5.4733 Å, c = 11.3488 Å
α = 90.00°, β = 90.00°, γ = 90.00°
Space group Imm2 (No. 44)
Inequivalent atoms, fractional coordinates:
Ca  0.0000  0.0000  0.0000 (multiplicity 2)
Y  0.0000  0.0000  0.4173 (multiplicity 2)
Y  0.0000  0.5000  0.2095 (multiplicity 2)
Mn  0.0000  0.5000  0.7166 (multiplicity 2)

Calculated values
N(E_F) (states/eV/cell): 11.3



Which structure is the most stable? The one labeled B.



A:
DFT (PBE) results for a relaxed CaY3Mn crystal.

a = 5.3713 Å, b = 5.3713 Å, c = 5.3713 Å
α = 90.00°, β = 90.00°, γ = 90.00°
Space group Pm-3m (No. 221)
Inequivalent atoms, fractional coordinates:
Ca  0.0000  0.0000  0.0000 (multiplicity 1)
Y  0.0000  0.5000  0.5000 (multiplicity 3)
Mn  0.5000  0.5000  0.5000 (multiplicity 1)

Calculated values
N(E_F) (states/eV/cell): 3.3



B:
DFT (PBE) results for a relaxed CaY3Mn crystal.

a = 5.5337 Å, b = 5.5337 Å, c = 5.5337 Å
α = 90.00°, β = 90.00°, γ = 90.00°
Space group Pm-3m (No. 221)
Inequivalent atoms, fractional coordinates:
Ca  0.0000  0.0000  0.0000 (multiplicity 1)
Y  0.0000  0.0000  0.5000 (multiplicity 3)
Mn  0.5000  0.5000  0.5000 (multiplicity 1)

Calculated values
N(E_F) (states/eV/cell): 4.2



Which structure is the most stable? The one labeled A.



A:
DFT (PBE) results for a relaxed Ca2YMn2 crystal.

a = 8.7291 Å, b = 8.7291 Å, c = 3.4186 Å
α = 90.00°, β = 90.00°, γ = 90.00°
Space group P4/mbm (No. 127)
Inequivalent atoms, fractional coordinates:
Ca  0.1326  0.3674  0.0000 (multiplicity 4)
Y  0.0000  0.0000  0.0000 (multiplicity 2)
Mn  0.1684  0.6684  0.5000 (multiplicity 4)

Calculated values
N(E_F) (states/eV/cell): 5.5



B:
DFT (PBE) results for a relaxed Ca2YMn2 crystal.

a = 3.2529 Å, b = 3.2529 Å, c = 22.8047 Å
α = 90.00°, β = 90.00°, γ = 90.00°
Space group I4/mmm (No. 139)
Inequivalent atoms, fractional coordinates:
Ca  0.0000  0.0000  0.1357 (multiplicity 4)
Y  0.0000  0.0000  0.5000 (multiplicity 2)
Mn  0.0000  0.5000  0.2500 (multiplicity 4)

Calculated values
N(E_F) (states/eV/cell): 15.2



Which structure is the most stable? The one labeled A.